(1)
The following is a PBE-GGA calculation of MnBeZnIr after structural relaxation, from the Alexandria database.

The value obtained for the total energy is -5.880 eV/atom. The calculation puts the formation energy at -11.8 kJ/mol of atoms. The volume is 12.484 A^3/atom.

The space group is Pmm2 (No. 25) and the conventional cell measures 2.9578, 4.1534 and 4.0647 Å, with angles of 90.00, 90.00 and 90.00 degrees. The distinct sites, in fractional coordinates, are Mn at (0.0000, 0.0000, 0.0000), Be at (0.5000, 0.5000, 0.9075), Zn at (0.5000, 0.0000, 0.5108) and Ir at (0.0000, 0.5000, 0.4046).

(2)
The following is a PBE-GGA calculation of MnBeZnIr after structural relaxation, from the Alexandria database.

The value obtained for the total energy is -5.891 eV/atom. The calculation puts the formation energy at -12.9 kJ/mol of atoms. The volume is 12.310 A^3/atom.

The space group is Imm2 (No. 44) and the conventional cell measures 2.9564, 4.0394 and 8.2461 Å, with angles of 90.00, 90.00 and 90.00 degrees. The distinct sites, in fractional coordinates, are Mn at (0.0000, 0.0000, 0.0000), Be at (0.0000, 0.5000, 0.2634), Zn at (0.0000, 0.0000, 0.5348) and Ir at (0.0000, 0.5000, 0.7655).

(3)
The following is a PBE-GGA calculation of MnBeZnIr after structural relaxation, from the Alexandria database.

The value obtained for the total energy is -5.759 eV/atom. The calculation puts the formation energy at -0.1 kJ/mol of atoms. The volume is 13.612 A^3/atom.

The space group is Cm (No. 8) and the conventional cell measures 8.1005, 2.8649 and 5.7963 Å, with angles of 90.00, 125.95 and 90.00 degrees. The distinct sites, in fractional coordinates, are Mn at (0.0000, 0.0000, 0.0000), Be at (0.2486, 0.5000, 0.4260), Zn at (0.1548, 0.0000, 0.6992) and Ir at (0.3885, 0.0000, 0.2609).